The following is a DFT calculation (PBE-GGA) of an optimized crystal structure of CaCd2InAu4.

abc: 4.8646 4.8646 24.4907
angles: 90.00 90.00 120.00
With the nearest neighbours (Å) after each atom.
Space group R-3m (No. 166, hexagonal axes)
Symmetry-distinct sites (fractional):
1 Ca 0.0000 0.0000 0.0000  8 Au 3.06-3.11, 6 Cd 3.42
2 Cd 0.0000 0.0000 0.2539  8 Au 2.90-3.15
3 In 0.0000 0.0000 0.5000  8 Au 2.88-2.97
4 Au 0.0000 0.0000 0.1268  3 In 2.97, 4 Cd 3.04-3.11, 1 Ca 3.11
5 Au 0.0000 0.0000 0.3825  1 In 2.88, 4 Cd 2.90-3.15, 3 Ca 3.06

E_form   -0.35 eV per atom
DOS(E_F)   6.8 states/eV/cell

The following is a DFT calculation (PBE-GGA) of an optimized crystal structure of CsMg14B.

abc: 10.1253 6.2478 12.3979
angles: 90.00 90.00 90.00
With the nearest neighbours (Å) after each atom.
Space group Amm2 (No. 38)
Symmetry-distinct sites (fractional):
1 Cs 0.0000 0.0000 0.0000  10 Mg 3.34-3.60, 2 B 3.50
2 Mg 0.0000 0.2413 0.7367  1 B 2.33
3 Mg 0.2442 0.0000 0.6310  11 Mg 3.15-3.49
4 Mg 0.2466 0.2342 0.3782  1 B 2.90, 4 Mg 2.93-3.21
5 Mg 0.2794 0.0000 0.1434  7 Mg 2.98-3.27
6 Mg 0.5000 0.0000 0.4793  10 Mg 3.13-3.42
7 Mg 0.5000 0.0000 0.9678  10 Mg 3.12-3.25
8 Mg 0.5000 0.2428 0.7360  9 Mg 2.98-3.27
9 B 0.0000 0.0000 0.3718  2 Mg 2.33

E_form   0.30 eV per atom
Energy above the most stable polymorph in this dataset   0.0 meV per atom
DOS(E_F)   14.0 states/eV/cell

The following is a DFT calculation (PBE-GGA) of an optimized crystal structure of KRbSnSe3.

abc: 10.4355 8.8539 11.3140
angles: 90.00 104.76 90.00
With the nearest neighbours (Å) after each atom.
Space group C2/m (No. 12)
Symmetry-distinct sites (fractional):
1 K 0.0000 0.2238 0.0000  6 Se 3.41-3.48, 2 Sn 3.82
2 Rb 0.1885 0.0000 0.6126  4 Se 3.50-3.55
3 Sn 0.0717 0.5000 0.7661  3 Se 2.47-2.48
4 Se 0.0369 0.2582 0.3097  1 Sn 2.47
5 Se 0.2274 0.5000 0.9717  1 Sn 2.48

Raw formation energy   -756 meV/atom